[1]
# PBE PtPbW, optimized geometry
data_PtPbW
_chemical_formula_sum 'Pt2 Pb2 W2'
_symmetry_space_group_name_H-M 'I 4 m m'
_symmetry_Int_Tables_number 107
_symmetry_space_group_name_Hall 'I 4 -2'
_cell_length_a 3.0325
_cell_length_b 3.0325
_cell_length_c 12.7205
_cell_angle_alpha 90.00
_cell_angle_beta 90.00
_cell_angle_gamma 90.00
loop_
_atom_site_label
_atom_site_type_symbol
_atom_site_fract_x
_atom_site_fract_y
_atom_site_fract_z
Pt1 Pt 0.0000 0.0000 0.0000
Pb1 Pb 0.0000 0.0000 0.3077
W1 W 0.0000 0.0000 0.6275
# Spin magnetization (μB/f.u.): 0.00
# ρ (Mg/m³): 16.64
# Relative energy among the computed polymorphs (eV per formula unit): 0.00
# E_form (eV/atom): 0.382

=====

[2]
# PBE AlZn2InCu, optimized geometry
data_AlZn2InCu
_chemical_formula_sum 'Al1 Zn2 In1 Cu1'
_symmetry_space_group_name_H-M 'P 4/m m m'
_symmetry_Int_Tables_number 123
_symmetry_space_group_name_Hall '-P 4 2'
_cell_length_a 4.8583
_cell_length_b 4.8583
_cell_length_c 4.7129
_cell_angle_alpha 90.00
_cell_angle_beta 90.00
_cell_angle_gamma 90.00
loop_
_atom_site_label
_atom_site_type_symbol
_atom_site_fract_x
_atom_site_fract_y
_atom_site_fract_z
Al1 Al 0.0000 0.0000 0.0000
Zn1 Zn 0.0000 0.5000 0.0000
In1 In 0.5000 0.5000 0.5000
Cu1 Cu 0.0000 0.0000 0.5000
# Spin magnetization (μB/f.u.): 0.00
# ρ (Mg/m³): 5.02
# E_form (eV/atom): 0.419

=====

[3]
# PBE Ca2LaBrF, optimized geometry
data_Ca2LaBrF
_chemical_formula_sum 'Ca2 La1 Br1 F1'
_symmetry_space_group_name_H-M 'P 4/m m m'
_symmetry_Int_Tables_number 123
_symmetry_space_group_name_Hall '-P 4 2'
_cell_length_a 7.0179
_cell_length_b 7.0179
_cell_length_c 4.5181
_cell_angle_alpha 90.00
_cell_angle_beta 90.00
_cell_angle_gamma 90.00
loop_
_atom_site_label
_atom_site_type_symbol
_atom_site_fract_x
_atom_site_fract_y
_atom_site_fract_z
Ca1 Ca 0.0000 0.5000 0.0000
La1 La 0.0000 0.0000 0.0000
Br1 Br 0.5000 0.5000 0.5000
F1 F 0.0000 0.0000 0.5000
# Spin magnetization (μB/f.u.): 1.30
# ρ (Mg/m³): 2.37
# ΔE_f (raw) (eV per formula unit): -4.280

=====

[4]
# PBE PuPa2AgO8, optimized geometry
data_PuPa2AgO8
_chemical_formula_sum 'Pu2 Pa4 Ag2 O16'
_symmetry_space_group_name_H-M 'I -4 m 2'
_symmetry_Int_Tables_number 119
_symmetry_space_group_name_Hall 'I -4 -2'
_cell_length_a 5.4125
_cell_length_b 5.4125
_cell_length_c 10.7996
_cell_angle_alpha 90.00
_cell_angle_beta 90.00
_cell_angle_gamma 90.00
loop_
_atom_site_label
_atom_site_type_symbol
_atom_site_fract_x
_atom_site_fract_y
_atom_site_fract_z
Pu1 Pu 0.0000 0.0000 0.0000
Pa1 Pa 0.0000 0.0000 0.5000
Pa2 Pa 0.0000 0.5000 0.7500
Ag1 Ag 0.0000 0.5000 0.2500
O1 O 0.2364 0.2631 0.6186
# Spin magnetization (μB/f.u.): 2.98
# ρ (Mg/m³): 9.89
# ΔE_f (raw) (eV per formula unit): -34.150

=====

[5]
# PBE HfZrPS2, optimized geometry
data_HfZrPS2
_chemical_formula_sum 'Hf1 Zr1 P1 S2'
_symmetry_space_group_name_H-M 'P 4/m m m'
_symmetry_Int_Tables_number 123
_symmetry_space_group_name_Hall '-P 4 2'
_cell_length_a 4.7839
_cell_length_b 4.7839
_cell_length_c 5.0290
_cell_angle_alpha 90.00
_cell_angle_beta 90.00
_cell_angle_gamma 90.00
loop_
_atom_site_label
_atom_site_type_symbol
_atom_site_fract_x
_atom_site_fract_y
_atom_site_fract_z
Hf1 Hf 0.0000 0.0000 0.0000
Zr1 Zr 0.5000 0.5000 0.5000
P1 P 0.0000 0.0000 0.5000
S1 S 0.0000 0.5000 0.0000
# Spin magnetization (μB/f.u.): 0.93
# ρ (Mg/m³): 5.26
# ΔE_f (raw) (eV per formula unit): -1.727
# Relative energy among the computed polymorphs (eV per formula unit): 0.00

=====

[6]
# PBE Sr2Tl, optimized geometry
data_Sr2Tl
_chemical_formula_sum 'Sr4 Tl2'
_symmetry_space_group_name_H-M 'P 42/m n m'
_symmetry_Int_Tables_number 136
_symmetry_space_group_name_Hall '-P 4n 2n'
_cell_length_a 8.2193
_cell_length_b 8.2193
_cell_length_c 4.4448
_cell_angle_alpha 90.00
_cell_angle_beta 90.00
_cell_angle_gamma 90.00
loop_
_atom_site_label
_atom_site_type_symbol
_atom_site_fract_x
_atom_site_fract_y
_atom_site_fract_z
Sr1 Sr 0.2152 0.2152 0.0000
Tl1 Tl 0.0000 0.0000 0.5000
# Spin magnetization (μB/f.u.): 0.00
# ρ (Mg/m³): 4.20
# E_form (eV/atom): -0.155

=====

Across the entries above, E takes the values -7.185, -2.206, -3.351, -9.166, -6.779, -2.065 eV/atom, respectively.